Below is a crystal of RbTmBeF6 relaxed with PBEsol, with properties calculated at the meta-GGA SCAN level.

a b c (Å): 6.3879 5.7345 7.0961
angles (deg): 90.00 113.92 90.00
With the nearest neighbours (Å) after each atom.
Space group P2_1/m (No. 11)
Unique sites:
Rb (0.0816, 0.2500, 0.2135) (multiplicity 2)  8 F 2.80-2.98
Tm (0.3936, 0.2500, 0.8241) (multiplicity 2)  8 F 2.20-2.30
Be (0.2306, 0.7500, 0.4628) (multiplicity 2)  4 F 1.54-1.57
F (0.0035, 0.2500, 0.7301) (multiplicity 2)  1 Be 1.57
F (0.2445, 0.5309, 0.5971) (multiplicity 4)  1 Be 1.56
F (0.3237, 0.5014, 0.0287) (multiplicity 4)  2 Tm 2.20-2.22, 1 F 2.45
F (0.4258, 0.7500, 0.3880) (multiplicity 2)  1 Be 1.54

Output
**Formation energy without anion corrections**: -34.91 eV per formula unit
**Crystal system**: monoclinic

***

Below is a crystal of InMoPb2S relaxed with PBEsol, with properties calculated at the meta-GGA SCAN level.

a b c (Å): 5.5392 5.5392 4.4109
angles (deg): 90.00 90.00 90.00
With the nearest neighbours (Å) after each atom.
Space group P4/mmm (No. 123)
Unique sites:
In (0.0000, 0.0000, 0.0000) (multiplicity 1)  8 Pb 3.54, 4 Mo 3.92
Mo (0.5000, 0.5000, 0.0000) (multiplicity 1)  2 S 2.21
Pb (0.0000, 0.5000, 0.5000) (multiplicity 2)  2 S 2.77
S (0.5000, 0.5000, 0.5000) (multiplicity 1)  2 Mo 2.21

Output
**Formation energy without anion corrections**: 2.72 eV per formula unit
**Crystal system**: tetragonal

***

Below is a crystal of CeAl6Pd relaxed with PBEsol, with properties calculated at the meta-GGA SCAN level.

a b c (Å): 4.2626 4.2626 8.2469
angles (deg): 90.00 90.00 90.00
With the nearest neighbours (Å) after each atom.
Space group P4/mmm (No. 123)
Unique sites:
Ce (0.0000, 0.0000, 0.0000) (multiplicity 1)  16 Al 3.25-3.47
Al (0.0000, 0.5000, 0.3315) (multiplicity 4)  2 Pd 2.54, 3 Al 2.62-2.78
Al (0.5000, 0.5000, 0.1472) (multiplicity 2)  5 Al 2.43-2.62
Pd (0.0000, 0.0000, 0.5000) (multiplicity 1)  8 Al 2.54

Output
**Crystal system**: tetragonal
**E_form**: -4.290 eV/f.u.

***

Below is a crystal of ScBe relaxed with PBEsol, with properties calculated at the meta-GGA SCAN level.

a b c (Å): 4.5421 4.5421 10.2896
angles (deg): 90.00 90.00 120.00
With the nearest neighbours (Å) after each atom.
Space group R-3m (No. 166, hexagonal axes)
Unique sites:
Sc (0.0000, 0.0000, 0.1433) (multiplicity 6)  7 Be 2.61-2.92, 3 Sc 2.67
Be (0.0000, 0.0000, 0.3974) (multiplicity 6)  1 Be 2.11

Output
**Crystal system**: trigonal
**E_form**: 0.739 eV/f.u.

***

Below is a crystal of Ir2AuSe relaxed with PBEsol, with properties calculated at the meta-GGA SCAN level.

a b c (Å): 4.3358 4.3358 6.6913
angles (deg): 90.00 90.00 90.00
With the nearest neighbours (Å) after each atom.
Space group I-4m2 (No. 119)
Unique sites:
Ir (0.0000, 0.0000, 0.0000) (multiplicity 2)  4 Ir 2.74, 4 Au 2.74, 4 Se 3.07
Ir (0.0000, 0.5000, 0.2500) (multiplicity 2)  4 Se 2.74, 4 Ir 2.74, 4 Au 3.07
Au (0.0000, 0.5000, 0.7500) (multiplicity 2)  4 Se 2.74, 8 Ir 2.74-3.07
Se (0.0000, 0.0000, 0.5000) (multiplicity 2)  8 Ir 2.74-3.07, 4 Au 2.74

Output
**Formation energy without anion corrections**: 3.06 eV per formula unit
**Crystal system**: tetragonal

***

Below is a crystal of Be3NiAg relaxed with PBEsol, with properties calculated at the meta-GGA SCAN level.

a b c (Å): 4.1505 4.1505 4.1505
angles (deg): 90.00 90.00 90.00
With the nearest neighbours (Å) after each atom.
Space group Pm-3m (No. 221)
Unique sites:
Be (0.0000, 0.0000, 0.5000) (multiplicity 3)  2 Ag 2.08
Ni (0.5000, 0.5000, 0.5000) (multiplicity 1)  12 Be 2.93
Ag (0.0000, 0.0000, 0.0000) (multiplicity 1)  6 Be 2.08

Output
**Crystal system**: cubic
**E_form**: 5.308 eV/f.u.

***

Number 3 is which compound?
CeAl6Pd